DFT (PBE) results for a relaxed structure of PrThNi2.

## Properties
**D(E_F)**: 3.4 states/eV/f.u.
**E_form**: -1.10 eV per formula unit
**Energy above the lowest structure with this stoichiometry**: 88 meV/atom
**VASP energy**: -6.22 eV/atom

abc: 3.5350 3.5350 7.0160
angles: 90.00 90.00 90.00
With the nearest neighbours (Å) after each atom.
Fractional coordinates of all 4 atoms:
Pr1 0.0000 0.0000 0.0000  8 Ni 3.24, 2 Th 3.51, 4 Pr 3.54
Th1 0.0000 0.0000 0.5000  8 Ni 2.89
Ni1 0.5000 0.5000 0.2938  4 Th 2.89, 1 Ni 2.89
Ni2 0.5000 0.5000 0.7062  4 Th 2.89, 1 Ni 2.89